Entry 1:
First-principles (PBE) data for a relaxed structure of PrBeAs, as listed in OQMD.

Geometry as extended XYZ:
```
12
Lattice="6.7937 0.0000 0.0000 0.0000 6.7937 0.0000 0.0000 0.0000 6.7937" Properties=species:S:1:pos:R:3 pbc="T T T"
Pr 0.0000 0.0000 0.0000
Pr 0.0000 3.3968 3.3968
Pr 3.3968 0.0000 3.3968
Pr 3.3968 3.3968 0.0000
Be 1.6984 1.6984 1.6984
Be 1.6984 5.0952 5.0952
Be 5.0952 1.6984 5.0952
Be 5.0952 5.0952 1.6984
As 1.6984 1.6984 5.0952
As 1.6984 5.0952 1.6984
As 5.0952 1.6984 1.6984
As 5.0952 5.0952 5.0952
```

Total DFT energy (no corrections)   -4.2796 eV/atom

---

Entry 2:
First-principles (PBE) data for a relaxed structure of Li4CdIn2Pt, as listed in OQMD.

Geometry as extended XYZ:
```
8
Lattice="4.5816 0.0000 0.0000 0.0000 4.5816 0.0000 0.0000 0.0000 6.5758" Properties=species:S:1:pos:R:3 pbc="T T T"
Li 0.0000 0.0000 0.0000
Li 0.0000 2.2908 1.5297
Li 2.2908 0.0000 5.0461
Li 2.2908 2.2908 3.2879
Cd 0.0000 0.0000 3.2879
In 0.0000 2.2908 5.0619
In 2.2908 0.0000 1.5139
Pt 2.2908 2.2908 0.0000
```

Total DFT energy (no corrections)   -2.9284 eV/atom

---

Entry 3:
First-principles (PBE) data for a relaxed structure of BeSnPd, as listed in OQMD.

Geometry as extended XYZ:
```
12
Lattice="5.8156 0.0000 0.0000 0.0000 5.8156 0.0000 0.0000 0.0000 5.8156" Properties=species:S:1:pos:R:3 pbc="T T T"
Be 0.0000 0.0000 0.0000
Be 0.0000 2.9078 2.9078
Be 2.9078 0.0000 2.9078
Be 2.9078 2.9078 0.0000
Sn 1.4539 1.4539 1.4539
Sn 1.4539 4.3617 4.3617
Sn 4.3617 1.4539 4.3617
Sn 4.3617 4.3617 1.4539
Pd 1.4539 1.4539 4.3617
Pd 1.4539 4.3617 1.4539
Pd 4.3617 1.4539 1.4539
Pd 4.3617 4.3617 4.3617
```

Offset from the most stable computed form   0 meV/atom
Total DFT energy (no corrections)   -4.4830 eV/atom

---

Entry 4:
First-principles (PBE) data for a relaxed structure of KRb3Tc2O6, as listed in OQMD.

Geometry as extended XYZ:
```
12
Lattice="6.4790 0.0000 0.0000 -3.2395 5.6110 0.0000 0.0000 0.0000 7.4324" Properties=species:S:1:pos:R:3 pbc="T T T"
K 0.0000 0.0000 0.0000
Rb 0.0000 0.0000 3.7162
Rb 0.0000 3.7406 1.8382
Rb 3.2395 1.8703 5.5942
Tc 0.0000 3.7406 5.6051
Tc 3.2395 1.8703 1.8274
O 0.0000 1.9608 5.6502
O -1.5414 4.6305 5.6502
O 1.6981 0.9804 1.7822
O 1.5414 4.6305 5.6502
O 4.7808 0.9804 1.7822
O 3.2395 3.6501 1.7822
```

Total DFT energy (no corrections)   -5.9429 eV/atom

---

Entry 5:
First-principles (PBE) data for a relaxed structure of Rb2TbTmTe4, as listed in OQMD.

Geometry as extended XYZ:
```
8
Lattice="4.5015 0.0000 0.0000 -2.2508 3.8984 0.0000 0.0000 0.0000 17.1045" Properties=species:S:1:pos:R:3 pbc="T T T"
Rb 0.0000 2.5990 4.2511
Rb 2.2508 1.2995 12.8534
Tb 0.0000 0.0000 8.5522
Tm 0.0000 0.0000 0.0000
Te 0.0000 2.5990 10.2882
Te 0.0000 2.5990 15.4244
Te 2.2508 1.2995 1.6801
Te 2.2508 1.2995 6.8163
```

Total DFT energy (no corrections)   -4.3217 eV/atom

---

Entry 6:
First-principles (PBE) data for a relaxed structure of PrFeSn2Ir, as listed in OQMD.

Geometry as extended XYZ:
```
10
Lattice="4.4878 0.0000 0.0000 0.0000 4.4878 0.0000 0.0000 0.0000 10.5354" Properties=species:S:1:pos:R:3 pbc="T T T"
Pr 1.1219 1.1219 2.5798
Pr 3.3658 3.3658 7.9555
Fe 1.1219 1.1219 6.5652
Fe 3.3658 3.3658 3.9701
Sn 1.1219 1.1219 9.0778
Sn 1.1219 3.3658 5.2677
Sn 3.3658 1.1219 5.2677
Sn 3.3658 3.3658 1.4575
Ir 1.1219 3.3658 0.0000
Ir 3.3658 1.1219 0.0000
```

Total DFT energy (no corrections)   -6.2911 eV/atom

---

Entry 7:
First-principles (PBE) data for a relaxed structure of NiMoP2, as listed in OQMD.

Geometry as extended XYZ:
```
16
Lattice="5.4790 0.0000 0.0000 0.0000 3.2326 0.0000 0.0000 0.0000 11.9049" Properties=species:S:1:pos:R:3 pbc="T T T"
Ni 0.1369 0.8082 1.0284
Ni 2.6026 2.4245 6.9809
Ni 2.8764 0.8082 4.9240
Ni 5.3421 2.4245 10.8764
Mo 0.0853 0.8082 3.9616
Mo 2.6542 2.4245 9.9140
Mo 2.8248 0.8082 1.9908
Mo 5.3938 2.4245 7.9432
P 0.7747 0.8082 9.6016
P 1.0501 0.8082 6.3523
P 1.6895 2.4245 0.3999
P 1.9648 2.4245 3.6492
P 3.5143 0.8082 8.2557
P 3.7896 0.8082 11.5049
P 4.4290 2.4245 5.5525
P 4.7043 2.4245 2.3033
```

Total DFT energy (no corrections)   -7.3145 eV/atom

---

Entry 8:
First-principles (PBE) data for a relaxed structure of TmLuTh, as listed in OQMD.

Geometry as extended XYZ:
```
12
Lattice="7.5782 0.0000 0.0000 0.0000 7.5782 0.0000 0.0000 0.0000 7.5782" Properties=species:S:1:pos:R:3 pbc="T T T"
Tm 0.0000 0.0000 0.0000
Tm 0.0000 3.7891 3.7891
Tm 3.7891 0.0000 3.7891
Tm 3.7891 3.7891 0.0000
Lu 1.8946 1.8946 5.6837
Lu 1.8946 5.6837 1.8946
Lu 5.6837 1.8946 1.8946
Lu 5.6837 5.6837 5.6837
Th 0.0000 0.0000 3.7891
Th 0.0000 3.7891 0.0000
Th 3.7891 0.0000 0.0000
Th 3.7891 3.7891 3.7891
```

Offset from the most stable computed form   0 meV/atom
Total DFT energy (no corrections)   -4.6775 eV/atom
Energy of formation from the pure elements   0.7930 eV/atom

---

Entry 9:
First-principles (PBE) data for a relaxed structure of YGeW2, as listed in OQMD.

Geometry as extended XYZ:
```
16
Lattice="6.6106 0.0000 0.0000 0.0000 6.6106 0.0000 0.0000 0.0000 6.6106" Properties=species:S:1:pos:R:3 pbc="T T T"
Y 0.0000 0.0000 0.0000
Y 0.0000 3.3053 3.3053
Y 3.3053 0.0000 3.3053
Y 3.3053 3.3053 0.0000
Ge 1.6527 1.6527 4.9580
Ge 1.6527 4.9580 1.6527
Ge 4.9580 1.6527 1.6527
Ge 4.9580 4.9580 4.9580
W 0.0000 0.0000 3.3053
W 0.0000 3.3053 0.0000
W 1.6527 1.6527 1.6527
W 1.6527 4.9580 4.9580
W 3.3053 0.0000 0.0000
W 3.3053 3.3053 3.3053
W 4.9580 1.6527 4.9580
W 4.9580 4.9580 1.6527
```

Total DFT energy (no corrections)   -8.9327 eV/atom

---

Entry 10:
First-principles (PBE) data for a relaxed structure of LiTcNiB, as listed in OQMD.

Geometry as extended XYZ:
```
16
Lattice="5.3929 0.0000 0.0000 0.0000 5.3929 0.0000 0.0000 0.0000 5.3929" Properties=species:S:1:pos:R:3 pbc="T T T"
Li 0.0000 0.0000 0.0000
Li 0.0000 2.6965 2.6965
Li 2.6965 0.0000 2.6965
Li 2.6965 2.6965 0.0000
Tc 1.3482 1.3482 1.3482
Tc 1.3482 4.0447 4.0447
Tc 4.0447 1.3482 4.0447
Tc 4.0447 4.0447 1.3482
Ni 1.3482 1.3482 4.0447
Ni 1.3482 4.0447 1.3482
Ni 4.0447 1.3482 1.3482
Ni 4.0447 4.0447 4.0447
B 0.0000 0.0000 2.6965
B 0.0000 2.6965 0.0000
B 2.6965 0.0000 0.0000
B 2.6965 2.6965 2.6965
```

Offset from the most stable computed form   0 meV/atom
Total DFT energy (no corrections)   -5.9764 eV/atom

---

Entry 11:
First-principles (PBE) data for a relaxed structure of HoRePd, as listed in OQMD.

Geometry as extended XYZ:
```
12
Lattice="6.4450 0.0000 0.0000 0.0000 6.4450 0.0000 0.0000 0.0000 6.4450" Properties=species:S:1:pos:R:3 pbc="T T T"
Ho 0.0000 0.0000 0.0000
Ho 0.0000 3.2225 3.2225
Ho 3.2225 0.0000 3.2225
Ho 3.2225 3.2225 0.0000
Re 1.6112 1.6112 1.6112
Re 1.6112 4.8337 4.8337
Re 4.8337 1.6112 4.8337
Re 4.8337 4.8337 1.6112
Pd 1.6112 1.6112 4.8337
Pd 1.6112 4.8337 1.6112
Pd 4.8337 1.6112 1.6112
Pd 4.8337 4.8337 4.8337
```

Offset from the most stable computed form   537 meV/atom
Total DFT energy (no corrections)   -6.3216 eV/atom
Energy of formation from the pure elements   1.0700 eV/atom

---

Entry 12:
First-principles (PBE) data for a relaxed structure of YTeAuO, as listed in OQMD.

Geometry as extended XYZ:
```
16
Lattice="20.6870 0.0000 0.0000 0.0000 2.8567 2.8614 0.0000 -2.8567 2.8614" Properties=species:S:1:pos:R:3 pbc="T T T"
Y 1.0719 -1.4292 2.8614
Y 9.2716 1.4276 2.8614
Y 11.4154 -1.4276 2.8614
Y 19.6151 1.4292 2.8614
Te 2.8750 1.4197 2.8632
Te 7.4685 -1.4371 2.8632
Te 13.2184 1.4371 2.8632
Te 17.8120 -1.4197 2.8632
Au 5.1748 -0.0147 0.0212
Au 5.1686 -0.0147 2.8826
Au 15.5121 0.0147 0.0212
Au 15.5183 0.0147 2.8826
O 0.0000 0.0000 1.4312
O 0.0000 0.0000 4.2925
O 10.3435 0.0000 1.4311
O 10.3435 0.0000 4.2926
```

Offset from the most stable computed form   0 meV/atom
Total DFT energy (no corrections)   -6.2339 eV/atom

---

Let's list V in order: 314 138 197 270 300 212 211 435 289 157 268 338 Å³ per cell.